Below is an optimized crystal structure of GaTc2BiBr, with properties calculated at the PBE-GGA level.

POSCAR file:
```
GaTc2BiBr
1.0
4.8933 0.0000 0.0000
0.0000 4.8933 0.0000
0.0000 0.0000 4.9985
Ga Tc Bi Br
1 2 1 1
direct
0.0000 0.0000 0.0000
0.0000 0.5000 0.0000
0.5000 0.0000 0.0000
0.5000 0.5000 0.5000
0.0000 0.0000 0.5000
```

The spin magnetization is 0.933 μB per atom. Its calculated total energy is -4.59 eV/atom. The space group is P4/mmm, No. 123.



Below is an optimized crystal structure of TiGaBi2Br, with properties calculated at the PBE-GGA level.

POSCAR file:
```
TiGaBi2Br
1.0
5.3659 0.0000 0.0000
0.0000 5.3659 0.0000
0.0000 0.0000 5.2831
Ti Ga Bi Br
1 1 2 1
direct
0.0000 0.0000 0.0000
0.0000 0.0000 0.5000
0.0000 0.5000 0.0000
0.5000 0.0000 0.0000
0.5000 0.5000 0.5000
```

The spin magnetization is 0.000 μB per atom. Its calculated total energy is -4.00 eV/atom. The space group is P4/mmm, No. 123.



Below is an optimized crystal structure of Ti2GaBiBr, with properties calculated at the PBE-GGA level.

POSCAR file:
```
Ti2GaBiBr
1.0
5.3842 0.0000 0.0000
0.0000 5.3842 0.0000
0.0000 0.0000 6.0835
Ti Ga Bi Br
2 1 1 1
direct
0.0000 0.5000 0.0000
0.5000 0.0000 0.0000
0.0000 0.0000 0.5000
0.5000 0.5000 0.0000
0.5000 0.5000 0.5000
```

The spin magnetization is 0.821 μB per atom. Its calculated total energy is -3.92 eV/atom. The space group is P4/mmm, No. 123.



Below is an optimized crystal structure of Tl2GaBiBr, with properties calculated at the PBE-GGA level.

POSCAR file:
```
Tl2GaBiBr
1.0
5.5661 0.0000 0.0000
0.0000 5.5661 0.0000
0.0000 0.0000 5.3069
Tl Ga Bi Br
2 1 1 1
direct
0.0000 0.5000 0.0000
0.5000 0.0000 0.0000
0.0000 0.0000 0.0000
0.5000 0.5000 0.5000
0.0000 0.0000 0.5000
```

The spin magnetization is 0.228 μB per atom. Its calculated total energy is -2.50 eV/atom. The space group is P4/mmm, No. 123.